A geometry-optimized Hf2Ge2Os structure. Source: Alexandria, functional PBE.

Cell lengths 8.2009, 8.2009, 8.2009 Å; angles 155.82, 155.82, 34.46 degrees
Atoms (fractional coordinates):
Hf 0.1015 0.1015 0.0000
Hf 0.8985 0.8985 0.0000
Ge 0.2500 0.7500 0.5000
Ge 0.7500 0.2500 0.5000
Os 0.5000 0.5000 0.0000

Final energy   -8.251 eV per atom
Space-group type   I4/mmm
Total magnetic moment   0.00 μB per formula unit